The following is a GGA-PBE calculation of a geometry-optimized GaSiN2 structure, from Alexandria.

Geometry as POSCAR:
```
GaSiN2
1.0
4.678 0.000 0.000
0.000 4.678 0.000
0.000 0.000 8.462
Ga Si N
4 4 8
direct
0.000 0.000 0.000
0.000 0.500 0.250
0.500 0.000 0.750
0.500 0.500 0.500
0.000 0.000 0.500
0.000 0.500 0.750
0.500 0.000 0.250
0.500 0.500 0.000
0.170 0.250 0.625
0.250 0.670 0.875
0.250 0.830 0.375
0.330 0.250 0.125
0.670 0.750 0.125
0.750 0.170 0.375
0.750 0.330 0.875
0.830 0.750 0.625
```

excess energy over the best structure of this formula in the dataset	0	meV/atom
formation energy from raw total energies	-0.335	eV per atom

=====

The following is a GGA-PBE calculation of a geometry-optimized Cd4As structure, from Alexandria.

Geometry as POSCAR:
```
Cd4As
1.0
5.409 0.000 0.000
0.000 5.409 0.000
0.000 0.000 5.409
Cd As
4 1
direct
0.000 0.000 0.000
0.000 0.500 0.500
0.500 0.000 0.500
0.500 0.500 0.000
0.500 0.500 0.500
```

energy of formation	0.28	eV/atom
excess energy over the best structure of this formula in the dataset	209	meV/atom

=====

The following is a GGA-PBE calculation of a geometry-optimized LaIn2Hg4 structure, from Alexandria.

Geometry as POSCAR:
```
LaIn2Hg4
1.0
5.067 0.000 0.000
0.000 5.067 0.000
0.000 0.000 7.493
La In Hg
1 2 4
direct
0.000 0.000 0.000
0.000 0.000 0.500
0.500 0.500 0.000
0.000 0.500 0.279
0.000 0.500 0.721
0.500 0.000 0.279
0.500 0.000 0.721
```

energy of formation	-0.27	eV/atom

=====

- Number 1 is which compound?
  GaSiN2